(1)
Computed, not measured: a relaxed structure of Cu5Ag at the GGA-PBE level of DFT.

Lattice parameters (Å, degrees): 4.248 2.745 13.445 90.00 90.00 90.00
Space group Amm2 (No. 38)
Asymmetric unit:
Cu (0.000, 0.000, 0.000) x2
Cu (0.000, 0.000, 0.320) x2
Cu (0.000, 0.000, 0.661) x2
Cu (0.500, 0.000, 0.206) x2
Cu (0.500, 0.000, 0.552) x2
Ag (0.500, 0.000, 0.880) x2

Output
raw total energy: -3.806 eV per atom
energy of formation: 0.083 eV/atom
DOS(E_F): 0.36 states/eV per atom



(2)
Computed, not measured: a relaxed structure of Dy2MnTl at the GGA-PBE level of DFT.

Lattice parameters (Å, degrees): 4.851 4.851 4.208 90.00 90.00 90.00
Space group P4/mmm (No. 123)
Asymmetric unit:
Dy (0.000, 0.500, 0.000) x2
Mn (0.000, 0.000, 0.500) x1
Tl (0.500, 0.500, 0.500) x1

Output
raw total energy: -5.206 eV per atom
energy of formation: -0.021 eV/atom
DOS(E_F): 1.11 states/eV per atom
energy relative to the lowest polymorph listed for this composition: 61.9 meV per atom



(3)
Computed, not measured: a relaxed structure of Cr2FePt at the GGA-PBE level of DFT.

Lattice parameters (Å, degrees): 2.610 2.610 7.428 90.00 90.00 90.00
Space group P4mm (No. 99)
Asymmetric unit:
Cr (0.000, 0.000, 0.000) x1
Cr (0.500, 0.500, 0.245) x1
Fe (0.000, 0.000, 0.471) x1
Pt (0.500, 0.500, 0.740) x1

Output
raw total energy: -8.399 eV per atom
energy of formation: 0.039 eV/atom
DOS(E_F): 0.83 states/eV per atom



(4)
Computed, not measured: a relaxed structure of K3Cl8 at the GGA-PBE level of DFT.

Lattice parameters (Å, degrees): 4.700 4.786 19.229 83.55 84.53 60.95
Space group P-1 (No. 2)
Asymmetric unit:
K (0.000, 0.000, 0.000) x1
K (0.367, 0.389, 0.815) x2
Cl (0.148, 0.514, 0.301) x2
Cl (0.312, 0.303, 0.092) x2
Cl (0.325, 0.961, 0.706) x2
Cl (0.415, 0.738, 0.497) x2

Output
raw total energy: -2.652 eV per atom
formation energy from raw total energies: -1.010 eV per atom
DOS(E_F): 0.37 states/eV per atom



Among the records above, which one has the highest DOS(E_F)?
Dy2MnTl



Which of these has the highest raw total energy?
K3Cl8



Number 2 is which compound?
Dy2MnTl